Entry 1:
{"formula": "FePC", "functional": "PBE", "state": "relaxed", "spacegroup": "Amm2", "magnetic_moment_mub_per_fu": 1.1, "ef_kj_per_mol_atoms": 28.5, "dos_ef_per_ev_atom": 0.60, "cell": [[2.6056, 0.0000, 0.0000], [0.0000, 2.8587, 0.0000], [0.0000, 0.0000, 8.7138]], "species": ["P", "P", "C", "C", "Fe", "Fe"], "fractional_positions": [[0.5000, 0.0000, 0.1651], [0.5000, 0.5000, 0.6651], [0.5000, 0.0000, 0.7899], [0.5000, 0.5000, 0.2899], [0.0000, 0.0000, 0.9570], [0.0000, 0.5000, 0.4570]]}

***

Entry 2:
{"formula": "Sr4CaTb2Ru2O12", "functional": "PBE", "state": "relaxed", "final_energy_ev_per_atom": -6.90, "spacegroup": "P1", "magnetic_moment_mub_per_fu": 4.0, "dos_ef_per_ev_atom": 0.29, "cell": [[-2.1011, -5.3947, 0.5724], [4.6297, -1.4161, 3.8049], [-4.2367, 2.3391, 7.0497]], "species": ["Sr", "Sr", "Sr", "Sr", "Ca", "Tb", "Tb", "Ru", "Ru", "O", "O", "O", "O", "O", "O", "O", "O", "O", "O", "O", "O"], "fractional_positions": [[0.9999, 0.6580, 0.8308], [0.4908, 0.0785, 0.7723], [0.5161, 0.9694, 0.2346], [0.9821, 0.4456, 0.2305], [0.9568, 0.3638, 0.6149], [0.4953, 0.5194, 0.0017], [0.0027, 0.9380, 0.4731], [0.9992, 0.0389, 0.0001], [0.4910, 0.4642, 0.4856], [0.2836, 0.8363, 0.9725], [0.2785, 0.2047, 0.5194], [0.7268, 0.2312, 0.0348], [0.7319, 0.6942, 0.4415], [0.1904, 0.3137, 0.9482], [0.2222, 0.6550, 0.5478], [0.7856, 0.7633, 0.0468], [0.7409, 0.2303, 0.4350], [0.6060, 0.4684, 0.7255], [0.9254, 0.0270, 0.7487], [0.4120, 0.5006, 0.2568], [0.0792, 0.0265, 0.2264]]}

***

Entry 3:
{"formula": "BeSiSb2", "functional": "PBE", "state": "relaxed", "final_energy_ev_per_atom": -3.99, "spacegroup": "Cm", "magnetic_moment_mub_per_fu": 0.0, "dos_ef_per_ev_atom": 0.36, "cell": [[3.8715, -0.0558, 0.0893], [2.0832, 3.2637, 0.0893], [1.7878, 0.9631, 6.4698]], "species": ["Sb", "Sb", "Si", "Be"], "fractional_positions": [[0.9784, 0.9784, 0.0640], [0.7607, 0.7607, 0.7095], [0.5234, 0.5234, 0.4389], [0.2375, 0.2375, 0.2876]]}

***

Entry 4:
{"formula": "Ba2NdPaN4", "functional": "PBE", "state": "relaxed", "final_energy_ev_per_atom": -7.53, "spacegroup": "P2/m", "magnetic_moment_mub_per_fu": 0.0, "dos_ef_per_ev_atom": 0.11, "cell": [[3.7394, 0.0000, 0.0000], [0.0000, 6.4031, 0.0825], [0.0000, -2.2467, 6.3978]], "species": ["Ba", "Ba", "Nd", "Pa", "N", "N", "N", "N"], "fractional_positions": [[0.5000, 0.0000, 0.5000], [0.0000, 0.5000, 0.5000], [0.5000, 0.5000, 0.0000], [0.0000, 0.0000, 0.0000], [0.5000, 0.2139, 0.1910], [0.5000, 0.7861, 0.8090], [0.0000, 0.2370, 0.8102], [0.0000, 0.7630, 0.1898]]}

***

Entry 5:
{"formula": "HfAg2Mo", "functional": "PBE", "state": "relaxed", "spacegroup": "I-42d", "magnetic_moment_mub_per_fu": 0.0, "ef_kj_per_mol_atoms": 59.2, "dos_ef_per_ev_atom": 1.09, "cell": [[-0.5632, -0.8176, -3.7220], [3.7724, -0.6523, -0.4275], [0.1404, -10.7962, 0.3568]], "species": ["Mo", "Mo", "Hf", "Hf", "Ag", "Ag", "Ag", "Ag"], "fractional_positions": [[0.5000, 0.5000, 0.0000], [0.2500, 0.7500, 0.5000], [0.0000, 0.0000, 0.0000], [0.7500, 0.2500, 0.5000], [0.6209, 0.1250, 0.2500], [0.1291, 0.6250, 0.2500], [0.3750, 0.3791, 0.7500], [0.8750, 0.8709, 0.7500]]}

***

Entry 6:
{"formula": "YTi2Bi", "functional": "PBE", "state": "relaxed", "spacegroup": "I-42d", "magnetic_moment_mub_per_fu": 0.0, "ef_kj_per_mol_atoms": 37.5, "dos_ef_per_ev_atom": 1.14, "cell": [[8.2028, 0.0000, 0.0000], [0.0000, 8.2028, 0.0000], [4.1014, 4.1014, 2.9911]], "species": ["Y", "Y", "Bi", "Bi", "Ti", "Ti", "Ti", "Ti"], "fractional_positions": [[0.5000, 0.5000, 0.0000], [0.2500, 0.7500, 0.5000], [0.0000, 0.0000, 0.0000], [0.7500, 0.2500, 0.5000], [0.6574, 0.1250, 0.2500], [0.0926, 0.6250, 0.2500], [0.3750, 0.3426, 0.7500], [0.8750, 0.9074, 0.7500]]}

***

Entry 7:
{"formula": "Ta2WBr", "functional": "PBE", "state": "relaxed", "final_energy_ev_per_atom": -8.86, "spacegroup": "P4/mmm", "magnetic_moment_mub_per_fu": 0.0, "dos_ef_per_ev_atom": 1.21, "cell": [[-0.4063, -0.4464, -3.0645], [4.6264, -1.0895, -0.4547], [-1.0040, -4.5984, 0.8030]], "species": ["Br", "W", "Ta", "Ta"], "fractional_positions": [[0.5000, 0.0000, 0.5000], [0.5000, 0.5000, 0.0000], [0.0000, 0.0000, 0.0000], [0.0000, 0.5000, 0.5000]]}

***

Entry 8:
{"formula": "CaCdMo", "functional": "PBE", "state": "relaxed", "spacegroup": "F-43m", "magnetic_moment_mub_per_fu": 3.8, "ef_kj_per_mol_atoms": 128.3, "dos_ef_per_ev_atom": 1.33, "cell": [[-0.2495, 1.7149, -4.6586], [3.1245, -1.7312, -3.4562], [-1.6957, -2.9300, -3.6393]], "species": ["Mo", "Ca", "Cd"], "fractional_positions": [[0.5000, 0.5000, 0.5000], [0.2500, 0.2500, 0.2500], [0.0000, 0.0000, 0.0000]]}

***

Entry 9:
{"formula": "Li2HoNpO6", "functional": "PBE", "state": "relaxed", "final_energy_ev_per_atom": -7.82, "spacegroup": "R-3", "magnetic_moment_mub_per_fu": 0.0, "cell": [[5.3651, 0.0001, 0.0000], [2.6827, 4.6466, 0.0001], [2.6826, 1.5488, 5.1381]], "species": ["Li", "Li", "Ho", "Np", "O", "O", "O", "O", "O", "O"], "fractional_positions": [[0.6134, 0.6134, 0.1596], [0.0190, 0.0189, 0.9433], [0.8162, 0.8162, 0.5515], [0.3162, 0.3162, 0.0515], [0.5704, 0.2181, 0.2695], [0.2181, 0.9420, 0.2695], [0.9420, 0.5704, 0.2695], [0.4142, 0.6903, 0.8335], [0.6903, 0.0619, 0.8336], [0.0618, 0.4142, 0.8336]]}

***

Entry 10:
{"formula": "Ca9InP7O28", "functional": "PBE", "state": "relaxed", "final_energy_ev_per_atom": -7.18, "spacegroup": "R3c", "magnetic_moment_mub_per_fu": 0.0, "dos_ef_per_ev_atom": 0.00, "cell": [[10.5043, 0.0000, 0.0000], [5.2521, 9.0970, 0.0000], [5.2521, 3.0323, 12.5440]], "species": ["Ca", "Ca", "Ca", "Ca", "Ca", "Ca", "Ca", "Ca", "Ca", "Ca", "Ca", "Ca", "Ca", "Ca", "Ca", "Ca", "Ca", "Ca", "In", "In", "P", "P", "P", "P", "P", "P", "P", "P", "P", "P", "P", "P", "P", "P", "O", "O", "O", "O", "O", "O", "O", "O", "O", "O", "O", "O", "O", "O", "O", "O", "O", "O", "O", "O", "O", "O", "O", "O", "O", "O", "O", "O", "O", "O", "O", "O", "O", "O", "O", "O", "O", "O", "O", "O", "O", "O", "O", "O", "O", "O", "O", "O", "O", "O", "O", "O", "O", "O", "O", "O"], "fractional_positions": [[0.5658, 0.1449, 0.6945], [0.8475, 0.4236, 0.2940], [0.5948, 0.5658, 0.6945], [0.4236, 0.4349, 0.2940], [0.6449, 0.0658, 0.1945], [0.0948, 0.6449, 0.1945], [0.9514, 0.5253, 0.9758], [0.5253, 0.5474, 0.9758], [0.0474, 0.0253, 0.4758], [0.1449, 0.5948, 0.6945], [0.4514, 0.0474, 0.4758], [0.0253, 0.4514, 0.4758], [0.0658, 0.0948, 0.1945], [0.9349, 0.9236, 0.7940], [0.4349, 0.8475, 0.2940], [0.3475, 0.9349, 0.7940], [0.9236, 0.3475, 0.7940], [0.5474, 0.9514, 0.9758], [0.0006, 0.0006, 0.9981], [0.5006, 0.5006, 0.4981], [0.2314, 0.2314, 0.3057], [0.7314, 0.7314, 0.8057], [0.8140, 0.7784, 0.0927], [0.6916, 0.1798, 0.4029], [0.1798, 0.7257, 0.4029], [0.7257, 0.6916, 0.4029], [0.2784, 0.3140, 0.5927], [0.7784, 0.3149, 0.0927], [0.1916, 0.2257, 0.9029], [0.8149, 0.2784, 0.5927], [0.3140, 0.8149, 0.5927], [0.6798, 0.1916, 0.9029], [0.2257, 0.6798, 0.9029], [0.3149, 0.8140, 0.0927], [0.2312, 0.6079, 0.0202], [0.1079, 0.7312, 0.5202], [0.3162, 0.3296, 0.4719], [0.6076, 0.8893, 0.7674], [0.6126, 0.1620, 0.3366], [0.1305, 0.8602, 0.8838], [0.3602, 0.6305, 0.3838], [0.4051, 0.8574, 0.6312], [0.1126, 0.3888, 0.8366], [0.7312, 0.6407, 0.5202], [0.8893, 0.7358, 0.7674], [0.7358, 0.6076, 0.7674], [0.6407, 0.1079, 0.5202], [0.8296, 0.8162, 0.9719], [0.1452, 0.8677, 0.6501], [0.8162, 0.3823, 0.9719], [0.6361, 0.3620, 0.6172], [0.3620, 0.3848, 0.6172], [0.8620, 0.1361, 0.1172], [0.3370, 0.1452, 0.6501], [0.3677, 0.6452, 0.1501], [0.6079, 0.1407, 0.0202], [0.2358, 0.3893, 0.2674], [0.1361, 0.8848, 0.1172], [0.3893, 0.1076, 0.2674], [0.8642, 0.1254, 0.3611], [0.3296, 0.8823, 0.4719], [0.3823, 0.8296, 0.9719], [0.9051, 0.6063, 0.1312], [0.6452, 0.8370, 0.1501], [0.6305, 0.6254, 0.3838], [0.8848, 0.8620, 0.1172], [0.6492, 0.8642, 0.3611], [0.1076, 0.2358, 0.2674], [0.6620, 0.1126, 0.8366], [0.8677, 0.3370, 0.6501], [0.6254, 0.3602, 0.3838], [0.3642, 0.1492, 0.8611], [0.3848, 0.6361, 0.6172], [0.1492, 0.6254, 0.8611], [0.3574, 0.9051, 0.1312], [0.1254, 0.6492, 0.3611], [0.1900, 0.1900, 0.4299], [0.3888, 0.6620, 0.8366], [0.6900, 0.6900, 0.9299], [0.6063, 0.3574, 0.1312], [0.8370, 0.3677, 0.1501], [0.1063, 0.4051, 0.6312], [0.1407, 0.2312, 0.0202], [0.8574, 0.1063, 0.6312], [0.1620, 0.8888, 0.3366], [0.8888, 0.6126, 0.3366], [0.8602, 0.1254, 0.8838], [0.1254, 0.1305, 0.8838], [0.6254, 0.3642, 0.8611], [0.8823, 0.3162, 0.4719]]}

***

Entry 11:
{"formula": "Y3Th2Sc2", "functional": "PBE", "state": "relaxed", "spacegroup": "C2/m", "magnetic_moment_mub_per_fu": 0.0, "ef_kj_per_mol_atoms": 15.0, "dos_ef_per_ev_atom": 1.74, "cell": [[3.3892, 0.0000, 0.0000], [0.0000, 8.4541, -0.7731], [-1.6946, -3.5296, 7.7526]], "species": ["Y", "Y", "Y", "Th", "Th", "Sc", "Sc"], "fractional_positions": [[0.0000, 0.5000, 0.0000], [0.2158, 0.8003, 0.4317], [0.7842, 0.1997, 0.5683], [0.8592, 0.6757, 0.7183], [0.1408, 0.3243, 0.2817], [0.5630, 0.9085, 0.1260], [0.4370, 0.0915, 0.8740]]}

***

Entry 12:
{"formula": "Ga2POsRu", "functional": "PBE", "state": "relaxed", "spacegroup": "P4/mmm", "magnetic_moment_mub_per_fu": 0.0, "ef_kj_per_mol_atoms": 100.7, "dos_ef_per_ev_atom": 0.62, "cell": [[-3.9367, 0.0309, -2.5937], [-2.5999, -0.5724, 3.9393], [-0.2866, 4.6801, 0.4909]], "species": ["Ru", "Os", "Ga", "Ga", "P"], "fractional_positions": [[0.0000, 0.0000, 0.0000], [0.0000, 0.5000, 0.0000], [0.0000, 0.0000, 0.5000], [0.5000, 0.0000, 0.0000], [0.5000, 0.5000, 0.5000]]}